Material: Re2TcIr
Method: DFT, PBE-GGA
State: optimized geometry

```
data_Re2TcIr
_space_group_name_H-M_alt 'P 4 m m'
_space_group_IT_number 99
_cell_length_a 2.743
_cell_length_b 2.743
_cell_length_c 7.849
_cell_angle_alpha 90.00
_cell_angle_beta 90.00
_cell_angle_gamma 90.00
loop_
_space_group_symop_operation_xyz
'x,y,z'
'-y,x,z'
'-x,-y,z'
'y,-x,z'
'-x,y,z'
'y,x,z'
'x,-y,z'
'-y,-x,z'
loop_
_atom_site_label
_atom_site_type_symbol
_atom_site_fract_x
_atom_site_fract_y
_atom_site_fract_z
_atom_site_occupancy
Re1 Re 0.000 0.000 0.000 1
Re2 Re 0.500 0.500 0.257 1
Tc1 Tc 0.000 0.000 0.499 1
Ir1 Ir 0.500 0.500 0.756 1
```

Values from the calculation:
The size of the total moment is 0.00 μB/f.u. The energy above the most stable polymorph in this dataset is 53 meV per atom. The density of states at the Fermi level is 0.970 states/eV per atom. The value obtained for the total energy is -11.075 eV/atom. The formation energy from the elements comes out at -0.044 eV/atom.

Material: Re2TcIr
Method: DFT, PBE-GGA
State: optimized geometry

```
data_Re2TcIr
_space_group_name_H-M_alt 'P 4/m m m'
_space_group_IT_number 123
_space_group_name_Hall '-P 4 2'
_cell_length_a 3.892
_cell_length_b 3.892
_cell_length_c 3.883
_cell_angle_alpha 90.00
_cell_angle_beta 90.00
_cell_angle_gamma 90.00
loop_
_atom_site_label
_atom_site_type_symbol
_atom_site_fract_x
_atom_site_fract_y
_atom_site_fract_z
_atom_site_occupancy
Re1 Re 0.000 0.500 0.000 1
Tc1 Tc 0.000 0.000 0.500 1
Ir1 Ir 0.500 0.500 0.500 1
```

Values from the calculation:
The size of the total moment is 0.00 μB/f.u. The energy above the most stable polymorph in this dataset is 0 meV per atom. The density of states at the Fermi level is 1.018 states/eV per atom. The value obtained for the total energy is -11.129 eV/atom. The formation energy from the elements comes out at -0.098 eV/atom.

Material: Re2TcIr
Method: DFT, PBE-GGA
State: optimized geometry

```
data_Re2TcIr
_space_group_name_H-M_alt 'P 1 2/m 1'
_space_group_IT_number 10
_cell_length_a 2.705
_cell_length_b 4.612
_cell_length_c 4.846
_cell_angle_alpha 90.00
_cell_angle_beta 92.26
_cell_angle_gamma 90.00
loop_
_space_group_symop_operation_xyz
'x,y,z'
'-x,-y,-z'
'-x,y,-z'
'x,-y,z'
loop_
_atom_site_label
_atom_site_type_symbol
_atom_site_fract_x
_atom_site_fract_y
_atom_site_fract_z
_atom_site_occupancy
Re1 Re 0.189 0.000 0.247 1
Tc1 Tc 0.500 0.500 0.000 1
Ir1 Ir 0.000 0.500 0.500 1
```

Values from the calculation:
The size of the total moment is 0.00 μB/f.u. The energy above the most stable polymorph in this dataset is 373 meV per atom. The density of states at the Fermi level is 1.053 states/eV per atom. The value obtained for the total energy is -10.755 eV/atom. The formation energy from the elements comes out at 0.275 eV/atom.

Material: ReTcIr2
Method: DFT, PBE-GGA
State: optimized geometry

```
data_ReTcIr2
_space_group_name_H-M_alt 'I -4 m 2'
_space_group_IT_number 119
_space_group_name_Hall 'I -4 -2'
_cell_length_a 3.902
_cell_length_b 3.902
_cell_length_c 7.656
_cell_angle_alpha 90.00
_cell_angle_beta 90.00
_cell_angle_gamma 90.00
loop_
_atom_site_label
_atom_site_type_symbol
_atom_site_fract_x
_atom_site_fract_y
_atom_site_fract_z
_atom_site_occupancy
Re1 Re 0.000 0.000 0.000 1
Tc1 Tc 0.000 0.500 0.250 1
Ir1 Ir 0.000 0.000 0.500 1
Ir2 Ir 0.000 0.500 0.750 1
```

Values from the calculation:
The size of the total moment is 0.00 μB/f.u. The energy above the most stable polymorph in this dataset is 148 meV per atom. The density of states at the Fermi level is 0.888 states/eV per atom. The value obtained for the total energy is -10.272 eV/atom. The formation energy from the elements comes out at -0.138 eV/atom.

Material: Re2TcIr
Method: DFT, PBE-GGA
State: optimized geometry

```
data_Re2TcIr
_space_group_name_H-M_alt 'P 1 21/c 1'
_space_group_IT_number 14
_cell_length_a 9.789
_cell_length_b 4.734
_cell_length_c 5.246
_cell_angle_alpha 90.00
_cell_angle_beta 100.83
_cell_angle_gamma 90.00
loop_
_space_group_symop_operation_xyz
'x,y,z'
'-x,-y,-z'
'-x,y+1/2,-z+1/2'
'x,-y+1/2,z+1/2'
loop_
_atom_site_label
_atom_site_type_symbol
_atom_site_fract_x
_atom_site_fract_y
_atom_site_fract_z
_atom_site_occupancy
Re1 Re 0.062 0.168 0.340 1
Re2 Re 0.436 0.739 0.974 1
Tc1 Tc 0.181 0.667 0.529 1
Ir1 Ir 0.309 0.178 0.707 1
```

Values from the calculation:
The size of the total moment is 0.00 μB/f.u. The energy above the most stable polymorph in this dataset is 101 meV per atom. The density of states at the Fermi level is 0.640 states/eV per atom. The value obtained for the total energy is -11.027 eV/atom. The formation energy from the elements comes out at 0.004 eV/atom.

Material: ReTc3Ir
Method: DFT, PBE-GGA
State: optimized geometry

```
data_ReTc3Ir
_space_group_name_H-M_alt 'P m -3 m'
_space_group_IT_number 221
_space_group_name_Hall '-P 4 2 3'
_cell_length_a 4.599
_cell_length_b 4.599
_cell_length_c 4.599
_cell_angle_alpha 90.00
_cell_angle_beta 90.00
_cell_angle_gamma 90.00
loop_
_atom_site_label
_atom_site_type_symbol
_atom_site_fract_x
_atom_site_fract_y
_atom_site_fract_z
_atom_site_occupancy
Re1 Re 0.000 0.000 0.000 1
Tc1 Tc 0.000 0.000 0.500 1
Ir1 Ir 0.500 0.500 0.500 1
```

Values from the calculation:
The size of the total moment is 0.00 μB/f.u. The energy above the most stable polymorph in this dataset is 2102 meV per atom. The density of states at the Fermi level is 1.377 states/eV per atom. The value obtained for the total energy is -8.514 eV/atom. The formation energy from the elements comes out at 1.967 eV/atom.

Material: ReTcIr2
Method: DFT, PBE-GGA
State: optimized geometry

```
data_ReTcIr2
_space_group_name_H-M_alt 'C 1 2/m 1'
_space_group_IT_number 12
_cell_length_a 9.154
_cell_length_b 2.733
_cell_length_c 4.729
_cell_angle_alpha 90.00
_cell_angle_beta 99.82
_cell_angle_gamma 90.00
loop_
_space_group_symop_operation_xyz
'x,y,z'
'-x,-y,-z'
'-x,y,-z'
'x,-y,z'
'x+1/2,y+1/2,z'
'-x+1/2,-y+1/2,-z'
'-x+1/2,y+1/2,-z'
'x+1/2,-y+1/2,z'
loop_
_atom_site_label
_atom_site_type_symbol
_atom_site_fract_x
_atom_site_fract_y
_atom_site_fract_z
_atom_site_occupancy
Re1 Re 0.000 0.000 0.000 1
Tc1 Tc 0.000 0.500 0.500 1
Ir1 Ir 0.249 0.500 0.250 1
```

Values from the calculation:
The size of the total moment is 0.00 μB/f.u. The energy above the most stable polymorph in this dataset is 190 meV per atom. The density of states at the Fermi level is 0.996 states/eV per atom. The value obtained for the total energy is -10.230 eV/atom. The formation energy from the elements comes out at -0.096 eV/atom.

Material: ReTcIr2
Method: DFT, PBE-GGA
State: optimized geometry

```
data_ReTcIr2
_space_group_name_H-M_alt 'P m m n'
_space_group_IT_number 59
_cell_length_a 4.389
_cell_length_b 5.475
_cell_length_c 4.825
_cell_angle_alpha 90.00
_cell_angle_beta 90.00
_cell_angle_gamma 90.00
loop_
_space_group_symop_operation_xyz
'x,y,z'
'-x,-y,-z'
'-x+1/2,-y+1/2,z'
'x+1/2,y+1/2,-z'
'x+1/2,-y,-z'
'-x+1/2,y,z'
'-x,y+1/2,-z'
'x,-y+1/2,z'
loop_
_atom_site_label
_atom_site_type_symbol
_atom_site_fract_x
_atom_site_fract_y
_atom_site_fract_z
_atom_site_occupancy
Re1 Re 0.250 0.250 0.164 1
Tc1 Tc 0.250 0.750 0.162 1
Ir1 Ir 0.250 0.001 0.668 1
```

Values from the calculation:
The size of the total moment is 0.00 μB/f.u. The energy above the most stable polymorph in this dataset is 0 meV per atom. The density of states at the Fermi level is 0.581 states/eV per atom. The value obtained for the total energy is -10.420 eV/atom. The formation energy from the elements comes out at -0.286 eV/atom.

Material: ReTc3Ir
Method: DFT, PBE-GGA
State: optimized geometry

```
data_ReTc3Ir
_space_group_name_H-M_alt 'P -1'
_space_group_IT_number 2
_cell_length_a 4.799
_cell_length_b 5.182
_cell_length_c 6.522
_cell_angle_alpha 76.71
_cell_angle_beta 68.45
_cell_angle_gamma 89.96
loop_
_space_group_symop_operation_xyz
'x,y,z'
'-x,-y,-z'
loop_
_atom_site_label
_atom_site_type_symbol
_atom_site_fract_x
_atom_site_fract_y
_atom_site_fract_z
_atom_site_occupancy
Re1 Re 0.217 0.351 0.403 1
Tc1 Tc 0.015 0.952 0.798 1
Tc2 Tc 0.183 0.453 0.801 1
Tc3 Tc 0.380 0.852 0.401 1
Ir1 Ir 0.417 0.751 0.000 1
```

Values from the calculation:
The size of the total moment is 0.00 μB/f.u. The energy above the most stable polymorph in this dataset is 0 meV per atom. The density of states at the Fermi level is 0.800 states/eV per atom. The value obtained for the total energy is -10.616 eV/atom. The formation energy from the elements comes out at -0.135 eV/atom.

Material: ReTc2Ir2
Method: DFT, PBE-GGA
State: optimized geometry

```
data_ReTc2Ir2
_space_group_name_H-M_alt 'P -1'
_space_group_IT_number 2
_cell_length_a 2.720
_cell_length_b 6.533
_cell_length_c 9.024
_cell_angle_alpha 72.49
_cell_angle_beta 89.84
_cell_angle_gamma 78.16
loop_
_space_group_symop_operation_xyz
'x,y,z'
'-x,-y,-z'
loop_
_atom_site_label
_atom_site_type_symbol
_atom_site_fract_x
_atom_site_fract_y
_atom_site_fract_z
_atom_site_occupancy
Re1 Re 0.058 0.380 0.158 1
Tc1 Tc 0.335 0.826 0.523 1
Tc2 Tc 0.358 0.791 0.045 1
Ir1 Ir 0.236 0.030 0.745 1
Ir2 Ir 0.455 0.579 0.340 1
```

Values from the calculation:
The size of the total moment is 0.00 μB/f.u. The energy above the most stable polymorph in this dataset is 0 meV per atom. The density of states at the Fermi level is 0.888 states/eV per atom. The value obtained for the total energy is -10.121 eV/atom. The formation energy from the elements comes out at 0.059 eV/atom.

Material: ReTcIr4
Method: DFT, PBE-GGA
State: optimized geometry

```
data_ReTcIr4
_space_group_name_H-M_alt 'C m c m'
_space_group_IT_number 63
_space_group_name_Hall '-C 2c 2'
_cell_length_a 8.193
_cell_length_b 10.159
_cell_length_c 4.254
_cell_angle_alpha 90.00
_cell_angle_beta 90.00
_cell_angle_gamma 90.00
loop_
_atom_site_label
_atom_site_type_symbol
_atom_site_fract_x
_atom_site_fract_y
_atom_site_fract_z
_atom_site_occupancy
Re1 Re 0.000 0.170 0.250 1
Tc1 Tc 0.000 0.426 0.250 1
Ir1 Ir 0.167 0.330 0.750 1
Ir2 Ir 0.170 0.072 0.750 1
```

Values from the calculation:
The size of the total moment is 0.00 μB/f.u. The energy above the most stable polymorph in this dataset is 0 meV per atom. The density of states at the Fermi level is 0.599 states/eV per atom. The value obtained for the total energy is -9.731 eV/atom. The formation energy from the elements comes out at -0.021 eV/atom.

Material: Re3TcIr
Method: DFT, PBE-GGA
State: optimized geometry

```
data_Re3TcIr
_space_group_name_H-M_alt 'P m -3 m'
_space_group_IT_number 221
_space_group_name_Hall '-P 4 2 3'
_cell_length_a 4.580
_cell_length_b 4.580
_cell_length_c 4.580
_cell_angle_alpha 90.00
_cell_angle_beta 90.00
_cell_angle_gamma 90.00
loop_
_atom_site_label
_atom_site_type_symbol
_atom_site_fract_x
_atom_site_fract_y
_atom_site_fract_z
_atom_site_occupancy
Re1 Re 0.000 0.000 0.500 1
Tc1 Tc 0.000 0.000 0.000 1
Ir1 Ir 0.500 0.500 0.500 1
```

Values from the calculation:
The size of the total moment is 0.00 μB/f.u. The energy above the most stable polymorph in this dataset is 2455 meV per atom. The density of states at the Fermi level is 1.123 states/eV per atom. The value obtained for the total energy is -9.012 eV/atom. The formation energy from the elements comes out at 2.302 eV/atom.

What is the formula in the first record?
Re2TcIr